(1)
Below is a relaxed structure of TaTi7Sb2H2, with properties calculated at the GGA-PBE level.

```
12
Lattice="2.767 -2.760 0.000 2.767 2.760 0.000 -2.522 0.000 12.196" Properties=species:S:1:pos:R:3 pbc="T T T"
Ta 0.000 0.000 0.000
Ti 1.383 1.376 2.297
Ti 0.274 0.000 7.137
Ti 1.628 1.376 9.899
Ti 2.767 0.000 0.000
Ti 1.383 -1.376 2.297
Ti 2.738 0.000 5.059
Ti 1.628 -1.376 9.899
Sb -0.005 0.000 4.388
Sb 3.016 0.000 7.808
H 0.241 0.000 10.202
H 2.770 0.000 1.994
```

Summary:
space-group type = No. 12
crystal system = monoclinic


(2)
Below is a relaxed structure of Ta2TiSbH, with properties calculated at the GGA-PBE level.

```
5
Lattice="4.139 0.000 0.000 0.000 4.139 0.000 0.000 0.000 4.357" Properties=species:S:1:pos:R:3 pbc="T T T"
Ta 0.000 2.070 0.000
Ta 2.070 0.000 0.000
Ti 0.000 0.000 2.178
Sb 2.070 2.070 2.178
H 0.000 0.000 0.000
```

Summary:
space-group type = No. 123
crystal system = tetragonal


(3)
Below is a relaxed structure of TaV2SbH, with properties calculated at the GGA-PBE level.

```
5
Lattice="4.108 0.000 0.000 0.000 4.108 0.000 0.000 0.000 3.984" Properties=species:S:1:pos:R:3 pbc="T T T"
Ta 0.000 0.000 0.000
V 0.000 2.054 1.992
V 2.054 0.000 1.992
Sb 2.054 2.054 0.000
H 0.000 0.000 1.992
```

Summary:
space-group type = No. 123
crystal system = tetragonal


(4)
Below is a relaxed structure of YTa2SbH, with properties calculated at the GGA-PBE level.

```
5
Lattice="4.223 0.000 0.000 0.000 4.223 0.000 0.000 0.000 4.851" Properties=species:S:1:pos:R:3 pbc="T T T"
Y 0.000 0.000 0.000
Ta 0.000 2.112 2.426
Ta 2.112 0.000 2.426
Sb 2.112 2.112 0.000
H 0.000 0.000 2.426
```

Summary:
space-group type = No. 123
crystal system = tetragonal


Number 1: magnetization 0.00 μB/f.u., E -86.04 eV per cell. Number 2: magnetization 0.00 μB/f.u., E -39.88 eV per cell. Number 3: magnetization 0.00 μB/f.u., E -37.80 eV per cell. Number 4: magnetization 0.00 μB/f.u., E -37.93 eV per cell.